(1)
First-principles (GGA-PBE) data for a relaxed RbHgSb crystal, as listed in Alexandria.

Unit cell a=6.6192 b=4.4098 c=9.0781 alpha=90.00 beta=111.36 gamma=90.00
Space group P2/m (No. 10)
Symmetry-distinct sites (fractional):
Rb: 0.1623 0.0000 0.3256 (multiplicity 2)
Hg: 0.3547 0.5000 0.7121 (multiplicity 2)
Sb: 0.2067 0.5000 0.0008 (multiplicity 2)

Total magnetic moment: 0.00 μB/f.u.
VASP energy: -1.965 eV per atom
Energy relative to the elements, uncorrected: -3.864 kcal/mol of atoms
Crystal system: monoclinic
DOS(E_F): 2.87 states/eV per cell

---

(2)
First-principles (GGA-PBE) data for a relaxed Rb2HgSb crystal, as listed in Alexandria.

Unit cell a=6.4766 b=6.4766 c=3.8840 alpha=90.00 beta=90.00 gamma=90.00
Space group P4/mmm (No. 123)
Symmetry-distinct sites (fractional):
Rb: 0.0000 0.5000 0.0000 (multiplicity 2)
Hg: 0.0000 0.0000 0.5000 (multiplicity 1)
Sb: 0.5000 0.5000 0.5000 (multiplicity 1)

Total magnetic moment: 0.00 μB/f.u.
VASP energy: -1.816 eV per atom
Energy above the lowest structure with this stoichiometry: 94 meV per atom
Energy relative to the elements, uncorrected: -5.220 kcal/mol of atoms
Crystal system: tetragonal
DOS(E_F): 2.94 states/eV per cell

---

(3)
First-principles (GGA-PBE) data for a relaxed RbHgSb3 crystal, as listed in Alexandria.

Unit cell a=8.2981 b=11.0479 c=7.3647 alpha=90.00 beta=90.00 gamma=90.00
Space group Cmcm (No. 63)
Symmetry-distinct sites (fractional):
Rb: 0.0000 0.2476 0.2500 (multiplicity 4)
Hg: 0.0000 0.3675 0.7500 (multiplicity 4)
Sb: 0.0000 0.0954 0.7500 (multiplicity 4)
Sb: 0.2346 0.5000 0.0000 (multiplicity 8)

Total magnetic moment: 0.00 μB/f.u.
VASP energy: -2.851 eV per atom
Energy above the lowest structure with this stoichiometry: 0 meV per atom
Energy relative to the elements, uncorrected: -2.854 kcal/mol of atoms
Crystal system: orthorhombic
DOS(E_F): 5.72 states/eV per cell

---

(4)
First-principles (GGA-PBE) data for a relaxed Rb2HgSb crystal, as listed in Alexandria.

Unit cell a=5.9433 b=5.9433 c=23.1986 alpha=90.00 beta=90.00 gamma=90.00
Space group I-42d (No. 122)
Symmetry-distinct sites (fractional):
Rb: 0.2492 0.2500 0.1250 (multiplicity 8)
Hg: 0.0000 0.0000 0.0000 (multiplicity 4)
Sb: 0.0000 0.0000 0.5000 (multiplicity 4)

Total magnetic moment: 1.00 μB/f.u.
VASP energy: -1.560 eV per atom
Energy above the lowest structure with this stoichiometry: 350 meV per atom
Energy relative to the elements, uncorrected: 0.684 kcal/mol of atoms
Crystal system: tetragonal
DOS(E_F): 8.19 states/eV per cell

---

(5)
First-principles (GGA-PBE) data for a relaxed Rb3HgSb crystal, as listed in Alexandria.

Unit cell a=11.4906 b=10.8448 c=9.4116 alpha=90.00 beta=90.00 gamma=90.00
Space group Ima2 (No. 46)
Symmetry-distinct sites (fractional):
Rb: 0.0576 0.1882 0.0000 (multiplicity 8)
Rb: 0.2500 0.6070 0.8515 (multiplicity 4)
Hg: 0.2500 0.0544 0.6994 (multiplicity 4)
Sb: 0.2500 0.5760 0.4706 (multiplicity 4)

Total magnetic moment: 0.00 μB/f.u.
VASP energy: -1.730 eV per atom
Energy above the lowest structure with this stoichiometry: 78 meV per atom
Energy relative to the elements, uncorrected: -6.094 kcal/mol of atoms
Crystal system: orthorhombic

---

(6)
First-principles (GGA-PBE) data for a relaxed Rb2HgSb2 crystal, as listed in Alexandria.

Unit cell a=7.9269 b=7.9269 c=5.9738 alpha=90.00 beta=90.00 gamma=90.00
Space group P4/mbm (No. 127)
Symmetry-distinct sites (fractional):
Rb: 0.1691 0.3309 0.0000 (multiplicity 4)
Hg: 0.0000 0.0000 0.5000 (multiplicity 2)
Sb: 0.1328 0.6328 0.5000 (multiplicity 4)

Total magnetic moment: 0.00 μB/f.u.
VASP energy: -2.379 eV per atom
Energy above the lowest structure with this stoichiometry: 52 meV per atom
Energy relative to the elements, uncorrected: -6.518 kcal/mol of atoms
Crystal system: tetragonal
DOS(E_F): 2.10 states/eV per cell

---

(7)
First-principles (GGA-PBE) data for a relaxed Rb3Hg7Sb4 crystal, as listed in Alexandria.

Unit cell a=5.0465 b=10.4351 c=10.7338 alpha=68.31 beta=76.51 gamma=76.08
Space group P-1 (No. 2)
Symmetry-distinct sites (fractional):
Rb: 0.0000 0.0000 0.0000 (multiplicity 1)
Rb: 0.3144 0.6849 0.6864 (multiplicity 2)
Hg: 0.0000 0.5000 0.5000 (multiplicity 1)
Hg: 0.1773 0.0708 0.5793 (multiplicity 2)
Hg: 0.3020 0.3642 0.0307 (multiplicity 2)
Hg: 0.4987 0.2496 0.7481 (multiplicity 2)
Sb: 0.0832 0.6137 0.2225 (multiplicity 2)
Sb: 0.3408 0.0255 0.2869 (multiplicity 2)

Total magnetic moment: 0.00 μB/f.u.
VASP energy: -1.700 eV per atom
Energy relative to the elements, uncorrected: -3.784 kcal/mol of atoms
Crystal system: triclinic
DOS(E_F): 3.82 states/eV per cell

---

(8)
First-principles (GGA-PBE) data for a relaxed RbHgSb crystal, as listed in Alexandria.

Unit cell a=6.9325 b=8.1085 c=9.6959 alpha=71.30 beta=83.20 gamma=82.57
Space group P-1 (No. 2)
Symmetry-distinct sites (fractional):
Rb: 0.0929 0.3072 0.2144 (multiplicity 2)
Rb: 0.3580 0.1524 0.7632 (multiplicity 2)
Hg: 0.1527 0.8897 0.1289 (multiplicity 2)
Hg: 0.4450 0.6140 0.6598 (multiplicity 2)
Sb: 0.1956 0.5718 0.4508 (multiplicity 2)
Sb: 0.3837 0.6624 0.9405 (multiplicity 2)

Total magnetic moment: 0.00 μB/f.u.
VASP energy: -2.061 eV per atom
Energy relative to the elements, uncorrected: -6.082 kcal/mol of atoms
Crystal system: triclinic
DOS(E_F): 1.75 states/eV per cell

---

(9)
First-principles (GGA-PBE) data for a relaxed RbHgSb2 crystal, as listed in Alexandria.

Unit cell a=5.3762 b=5.3762 c=19.3413 alpha=90.00 beta=90.00 gamma=120.00
Space group R-3m (No. 166, hexagonal axes)
Symmetry-distinct sites (fractional):
Rb: 0.0000 0.0000 0.0000 (multiplicity 3)
Hg: 0.0000 0.0000 0.5000 (multiplicity 3)
Sb: 0.0000 0.0000 0.1913 (multiplicity 6)

Total magnetic moment: 0.00 μB/f.u.
VASP energy: -2.430 eV per atom
Energy relative to the elements, uncorrected: -1.195 kcal/mol of atoms
Crystal system: trigonal
DOS(E_F): 15.06 states/eV per cell

---

(10)
First-principles (GGA-PBE) data for a relaxed RbHg4Sb crystal, as listed in Alexandria.

Unit cell a=8.9781 b=8.9781 c=8.9781 alpha=90.00 beta=90.00 gamma=90.00
Space group F-43m (No. 216)
Symmetry-distinct sites (fractional):
Rb: 0.0000 0.0000 0.0000 (multiplicity 4)
Hg: 0.1245 0.1245 0.3755 (multiplicity 16)
Sb: 0.2500 0.2500 0.7500 (multiplicity 4)

Total magnetic moment: 0.00 μB/f.u.
VASP energy: -1.062 eV per atom
Energy above the lowest structure with this stoichiometry: 111 meV per atom
Energy relative to the elements, uncorrected: -0.288 kcal/mol of atoms
Crystal system: cubic
DOS(E_F): 17.64 states/eV per cell

---

(11)
First-principles (GGA-PBE) data for a relaxed Rb2Hg2Sb crystal, as listed in Alexandria.

Unit cell a=8.1965 b=8.1965 c=5.5868 alpha=90.00 beta=90.00 gamma=90.00
Space group P4/mbm (No. 127)
Symmetry-distinct sites (fractional):
Rb: 0.1803 0.3197 0.0000 (multiplicity 4)
Hg: 0.1327 0.6327 0.5000 (multiplicity 4)
Sb: 0.0000 0.0000 0.5000 (multiplicity 2)

Total magnetic moment: 0.00 μB/f.u.
VASP energy: -1.573 eV per atom
Energy above the lowest structure with this stoichiometry: 83 meV per atom
Energy relative to the elements, uncorrected: -5.552 kcal/mol of atoms
Crystal system: tetragonal
DOS(E_F): 5.84 states/eV per cell

---

(12)
First-principles (GGA-PBE) data for a relaxed Rb2HgSb crystal, as listed in Alexandria.

Unit cell a=7.0801 b=5.0151 c=10.4971 alpha=90.00 beta=105.06 gamma=90.00
Space group P2_1/m (No. 11)
Symmetry-distinct sites (fractional):
Rb: 0.2122 0.2500 0.4259 (multiplicity 2)
Rb: 0.2807 0.7500 0.0717 (multiplicity 2)
Hg: 0.3317 0.7500 0.7155 (multiplicity 2)
Sb: 0.1638 0.2500 0.7817 (multiplicity 2)

Total magnetic moment: 0.00 μB/f.u.
VASP energy: -1.910 eV per atom
Energy above the lowest structure with this stoichiometry: 0 meV per atom
Energy relative to the elements, uncorrected: -7.378 kcal/mol of atoms
Crystal system: monoclinic
DOS(E_F): 4.71 states/eV per cell